# PBE Ti4Ga3Sb, optimized geometry
# V = 16.91 Å³/atom
# Formation energy (no corrections) = -282 kJ/mol of formula units
# Density of states at the Fermi level = 16.11 states/eV/cell
# Energy = -5.963 eV/atom
data_Ti4Ga3Sb
_space_group_name_H-M_alt 'P m n a'
_space_group_IT_number 53
_space_group_name_Hall '-P 2ac 2'
_cell_length_a 8.8917
_cell_length_b 5.5205
_cell_length_c 5.5125
_cell_angle_alpha 90.00
_cell_angle_beta 90.00
_cell_angle_gamma 90.00
loop_
_atom_site_label
_atom_site_type_symbol
_atom_site_fract_x
_atom_site_fract_y
_atom_site_fract_z
Ti1 Ti 0.0000 0.0000 0.0000
Ti2 Ti 0.0000 0.5000 0.5000
Ti3 Ti 0.2500 0.2478 0.2500
Ga1 Ga 0.0000 0.5000 0.0000
Ga2 Ga 0.2500 0.2620 0.7500
Sb1 Sb 0.0000 0.0000 0.5000